Record 1
Computed, not measured: a relaxed structure of K2HgPdCl at the PBE level of DFT.

Crystal system: tetragonal
Space-group type: P4/mmm
Mass density in g/cm3: 2.89
E_form (uncorrected) in eV per atom: 0.08

Lattice parameters (Å, degrees): 6.5631 6.5631 5.6171 90.00 90.00 90.00
Closest atoms and distances in Å follow each position.
Atoms (fractional coordinates):
K  0.0000  0.5000  0.0000  2 Hg 3.28
K  0.5000  0.0000  0.0000  2 Hg 3.28
Hg  0.0000  0.0000  0.0000  2 Cl 2.81
Pd  0.5000  0.5000  0.5000  8 K 4.32, 4 Cl 4.64
Cl  0.0000  0.0000  0.5000  2 Hg 2.81

Record 2
Computed, not measured: a relaxed structure of K3Hg2PdCl9 at the PBE level of DFT.

Crystal system: trigonal
Space-group type: P-3m1
Mass density in g/cm3: 3.69
E_form (uncorrected) in eV per atom: -1.06

Lattice parameters (Å, degrees): 7.3486 7.3486 9.0825 90.00 90.00 120.00
Closest atoms and distances in Å follow each position.
Atoms (fractional coordinates):
K  0.0000  0.0000  0.0000  12 Cl 3.67-3.74
K  0.3333  0.6667  0.6672  12 Cl 3.66-3.69
K  0.6667  0.3333  0.3328  12 Cl 3.66-3.69
Hg  0.3333  0.6667  0.1780  6 Cl 2.67-2.68
Hg  0.6667  0.3333  0.8220  6 Cl 2.67-2.68
Pd  0.0000  0.0000  0.5000  6 Cl 2.47
Cl  0.0000  0.5000  0.0000  2 Hg 2.67
Cl  0.1601  0.3202  0.3455  1 Pd 2.47, 1 Hg 2.68
Cl  0.1601  0.8399  0.3455  1 Pd 2.47, 1 Hg 2.68
Cl  0.3202  0.1601  0.6545  1 Pd 2.47, 1 Hg 2.68
Cl  0.5000  0.0000  0.0000  2 Hg 2.67
Cl  0.5000  0.5000  0.0000  2 Hg 2.67
Cl  0.6798  0.8399  0.3455  1 Pd 2.47, 1 Hg 2.68
Cl  0.8399  0.1601  0.6545  1 Pd 2.47, 1 Hg 2.68
Cl  0.8399  0.6798  0.6545  1 Pd 2.47, 1 Hg 2.68

Record 3
Computed, not measured: a relaxed structure of KPmHgCl6 at the PBE level of DFT.

Crystal system: trigonal
Space-group type: P-31c
Mass density in g/cm3: 3.31
E_form (uncorrected) in eV per atom: -1.65

Lattice parameters (Å, degrees): 7.0823 7.0823 13.8176 90.00 90.00 120.00
Closest atoms and distances in Å follow each position.
Atoms (fractional coordinates):
K  0.0000  0.0000  0.0000  6 Cl 3.23
K  0.0000  0.0000  0.5000  6 Cl 3.23
Pm  0.3333  0.6667  0.2500  6 Cl 2.74
Pm  0.6667  0.3333  0.7500  6 Cl 2.74
Hg  0.3333  0.6667  0.7500  6 Cl 2.73
Hg  0.6667  0.3333  0.2500  6 Cl 2.73
Cl  0.0014  0.3701  0.6370  1 Hg 2.73, 1 Pm 2.74
Cl  0.0014  0.6312  0.8630  1 Hg 2.73, 1 Pm 2.74
Cl  0.3688  0.3701  0.8630  1 Hg 2.73, 1 Pm 2.74
Cl  0.3688  0.9986  0.6370  1 Hg 2.73, 1 Pm 2.74
Cl  0.3701  0.0014  0.1370  1 Hg 2.73, 1 Pm 2.74
Cl  0.3701  0.3688  0.3630  1 Hg 2.73, 1 Pm 2.74
Cl  0.6299  0.6312  0.6370  1 Hg 2.73, 1 Pm 2.74
Cl  0.6299  0.9986  0.8630  1 Hg 2.73, 1 Pm 2.74
Cl  0.6312  0.0014  0.3630  1 Hg 2.73, 1 Pm 2.74
Cl  0.6312  0.6299  0.1370  1 Hg 2.73, 1 Pm 2.74
Cl  0.9986  0.3688  0.1370  1 Hg 2.73, 1 Pm 2.74
Cl  0.9986  0.6299  0.3630  1 Hg 2.73, 1 Pm 2.74

Record 4
Computed, not measured: a relaxed structure of KPmHg2Cl8 at the PBE level of DFT.

Crystal system: triclinic
Space-group type: P-1
Mass density in g/cm3: 3.65
E_form (uncorrected) in eV per atom: -1.36

Lattice parameters (Å, degrees): 6.6681 6.8664 8.9757 81.94 76.16 87.84
Closest atoms and distances in Å follow each position.
Atoms (fractional coordinates):
K  0.0000  0.0000  0.0000  6 Cl 3.11-3.23
Pm  0.0000  0.0000  0.5000  6 Cl 2.68-2.85
Hg  0.4722  0.4797  0.2328  2 Cl 2.39-2.41
Hg  0.5278  0.5203  0.7672  2 Cl 2.39-2.41
Cl  0.2130  0.8240  0.7007  1 Pm 2.68, 1 Hg 3.01
Cl  0.2446  0.3408  0.4720  1 Hg 2.41
Cl  0.2519  0.8568  0.2553  1 Pm 2.71, 1 Hg 2.94
Cl  0.2697  0.3850  0.9874  1 Hg 2.39
Cl  0.7303  0.6150  0.0126  1 Hg 2.39
Cl  0.7481  0.1432  0.7447  1 Pm 2.71, 1 Hg 2.94
Cl  0.7554  0.6592  0.5280  1 Hg 2.41
Cl  0.7870  0.1760  0.2993  1 Pm 2.68, 1 Hg 3.01

Record 5
Computed, not measured: a relaxed structure of KPrHg2Cl8 at the PBE level of DFT.

Crystal system: triclinic
Space-group type: P-1
Mass density in g/cm3: 3.59
E_form (uncorrected) in eV per atom: -1.35

Lattice parameters (Å, degrees): 6.6757 6.9061 9.0267 81.87 76.42 87.81
Closest atoms and distances in Å follow each position.
Atoms (fractional coordinates):
K  0.0000  0.0000  0.0000  6 Cl 3.11-3.24
Pr  0.0000  0.0000  0.5000  6 Cl 2.73-2.89
Hg  0.4740  0.4813  0.2307  2 Cl 2.39-2.41
Hg  0.5260  0.5187  0.7693  2 Cl 2.39-2.41
Cl  0.2175  0.8251  0.7039  1 Pr 2.73, 1 Hg 2.99
Cl  0.2474  0.3450  0.4689  1 Hg 2.41
Cl  0.2523  0.8547  0.2530  1 Pr 2.75, 1 Hg 2.93
Cl  0.2697  0.3837  0.9885  1 Hg 2.39
Cl  0.7303  0.6163  0.0115  1 Hg 2.39
Cl  0.7477  0.1453  0.7470  1 Pr 2.75, 1 Hg 2.93
Cl  0.7526  0.6550  0.5311  1 Hg 2.41
Cl  0.7825  0.1749  0.2961  1 Pr 2.73, 1 Hg 2.99

Record 6
Computed, not measured: a relaxed structure of KPrHgCl6 at the PBE level of DFT.

Crystal system: trigonal
Space-group type: P-31c
Mass density in g/cm3: 3.24
E_form (uncorrected) in eV per atom: -1.64

Lattice parameters (Å, degrees): 7.1355 7.1355 13.8040 90.00 90.00 120.00
Closest atoms and distances in Å follow each position.
Atoms (fractional coordinates):
K  0.0000  0.0000  0.0000  6 Cl 3.23
K  0.0000  0.0000  0.5000  6 Cl 3.23
Pr  0.3333  0.6667  0.2500  6 Cl 2.78
Pr  0.6667  0.3333  0.7500  6 Cl 2.78
Hg  0.3333  0.6667  0.7500  6 Cl 2.73
Hg  0.6667  0.3333  0.2500  6 Cl 2.73
Cl  0.0059  0.3711  0.6362  1 Hg 2.73, 1 Pr 2.78
Cl  0.0059  0.6348  0.8638  1 Hg 2.73, 1 Pr 2.78
Cl  0.3652  0.3711  0.8638  1 Hg 2.73, 1 Pr 2.78
Cl  0.3652  0.9941  0.6362  1 Hg 2.73, 1 Pr 2.78
Cl  0.3711  0.0059  0.1362  1 Hg 2.73, 1 Pr 2.78
Cl  0.3711  0.3652  0.3638  1 Hg 2.73, 1 Pr 2.78
Cl  0.6289  0.6348  0.6362  1 Hg 2.73, 1 Pr 2.78
Cl  0.6289  0.9941  0.8638  1 Hg 2.73, 1 Pr 2.78
Cl  0.6348  0.0059  0.3638  1 Hg 2.73, 1 Pr 2.78
Cl  0.6348  0.6289  0.1362  1 Hg 2.73, 1 Pr 2.78
Cl  0.9941  0.3652  0.1362  1 Hg 2.73, 1 Pr 2.78
Cl  0.9941  0.6289  0.3638  1 Hg 2.73, 1 Pr 2.78

Record 7
Computed, not measured: a relaxed structure of KHg2PtCl8 at the PBE level of DFT.

Crystal system: trigonal
Space-group type: P-3m1
Mass density in g/cm3: 4.36
E_form (uncorrected) in eV per atom: -0.68

Lattice parameters (Å, degrees): 7.1956 7.1956 7.8099 90.00 90.00 120.00
Closest atoms and distances in Å follow each position.
Atoms (fractional coordinates):
K  0.0000  0.0000  0.0000  6 Cl 3.28
Hg  0.3333  0.6667  0.4529  1 Cl 2.37
Hg  0.6667  0.3333  0.5471  1 Cl 2.37
Pt  0.0000  0.0000  0.5000  6 Cl 2.43
Cl  0.1631  0.3262  0.6703  1 Pt 2.43, 1 Hg 2.72
Cl  0.1631  0.8369  0.6703  1 Pt 2.43, 1 Hg 2.72
Cl  0.3262  0.1631  0.3297  1 Pt 2.43, 1 Hg 2.72
Cl  0.3333  0.6667  0.1497  1 Hg 2.37
Cl  0.6667  0.3333  0.8503  1 Hg 2.37
Cl  0.6738  0.8369  0.6703  1 Pt 2.43, 1 Hg 2.72
Cl  0.8369  0.1631  0.3297  1 Pt 2.43, 1 Hg 2.72
Cl  0.8369  0.6738  0.3297  1 Pt 2.43, 1 Hg 2.72

Record 8
Computed, not measured: a relaxed structure of K2RbHgCl5 at the PBE level of DFT.

Crystal system: orthorhombic
Space-group type: Immm
Mass density in g/cm3: 3.01
E_form (uncorrected) in eV per atom: -1.48

Lattice parameters (Å, degrees): 8.8568 8.8568 8.8568 145.79 129.49 62.42
Closest atoms and distances in Å follow each position.
Atoms (fractional coordinates):
K  0.2051  0.2051  0.0000  7 Cl 3.11-3.40
K  0.7949  0.7949  0.0000  7 Cl 3.11-3.40
Rb  0.5000  0.0000  0.5000  10 Cl 3.78
Hg  0.0000  0.5000  0.5000  6 Cl 2.61-2.72
Cl  0.0000  0.0000  0.0000  2 Hg 2.61
Cl  0.1175  0.3695  0.7480  1 Hg 2.72
Cl  0.3786  0.6305  0.7480  1 Hg 2.72
Cl  0.6214  0.3695  0.2520  1 Hg 2.72
Cl  0.8825  0.6305  0.2520  1 Hg 2.72

Record 9
Computed, not measured: a relaxed structure of KRb2HgCl at the PBE level of DFT.

Crystal system: tetragonal
Space-group type: P4/mmm
Mass density in g/cm3: 2.90
E_form (uncorrected) in eV per atom: -0.76

Lattice parameters (Å, degrees): 6.4658 6.4658 6.1028 90.00 90.00 90.00
Closest atoms and distances in Å follow each position.
Atoms (fractional coordinates):
K  0.0000  0.0000  0.0000  2 Cl 3.05
Rb  0.0000  0.5000  0.5000  2 Cl 3.23
Rb  0.5000  0.0000  0.5000  2 Cl 3.23
Hg  0.5000  0.5000  0.0000  8 Rb 4.45, 4 K 4.57
Cl  0.0000  0.0000  0.5000  2 K 3.05, 4 Rb 3.23

Record 10
Computed, not measured: a relaxed structure of KRbHgCl at the PBE level of DFT.

Crystal system: cubic
Space-group type: F-43m
Mass density in g/cm3: 3.90
E_form (uncorrected) in eV per atom: -0.82

Lattice parameters (Å, degrees): 6.0109 6.0109 6.0109 60.00 60.00 60.00
Closest atoms and distances in Å follow each position.
Atoms (fractional coordinates):
K  0.0000  0.0000  0.0000  4 Hg 3.68, 4 Cl 3.68
Rb  0.5000  0.5000  0.5000  4 Hg 3.68, 4 Cl 3.68
Hg  0.7500  0.7500  0.7500  4 Rb 3.68, 4 K 3.68
Cl  0.2500  0.2500  0.2500  4 K 3.68, 4 Rb 3.68

Record 11
Computed, not measured: a relaxed structure of KRbHg2Cl6 at the PBE level of DFT.

Crystal system: monoclinic
Space-group type: C2/c
Mass density in g/cm3: 3.24
E_form (uncorrected) in eV per atom: -1.16

Lattice parameters (Å, degrees): 10.1451 10.1451 7.5464 98.79 98.79 86.34
Closest atoms and distances in Å follow each position.
Atoms (fractional coordinates):
K  0.1001  0.8999  0.7500  6 Cl 3.15-3.24
K  0.8999  0.1001  0.2500  6 Cl 3.15-3.24
Rb  0.3754  0.6246  0.2500  6 Cl 3.27-3.34
Rb  0.6246  0.3754  0.7500  6 Cl 3.27-3.34
Hg  0.1237  0.3245  0.7082  2 Cl 2.41-2.43
Hg  0.3245  0.1237  0.2082  2 Cl 2.41-2.43
Hg  0.6755  0.8763  0.7918  2 Cl 2.41-2.43
Hg  0.8763  0.6755  0.2918  2 Cl 2.41-2.43
Cl  0.0955  0.1910  0.9955  2 Hg 2.73-2.78
Cl  0.1048  0.6531  0.4425  1 Hg 2.43
Cl  0.1910  0.0955  0.4955  2 Hg 2.73-2.78
Cl  0.3141  0.4557  0.8348  1 Hg 2.41
Cl  0.3469  0.8952  0.0575  1 Hg 2.43
Cl  0.4557  0.3141  0.3348  1 Hg 2.41
Cl  0.5443  0.6859  0.6652  1 Hg 2.41
Cl  0.6531  0.1048  0.9425  1 Hg 2.43
Cl  0.6859  0.5443  0.1652  1 Hg 2.41
Cl  0.8090  0.9045  0.5045  2 Hg 2.73-2.78
Cl  0.8952  0.3469  0.5575  1 Hg 2.43
Cl  0.9045  0.8090  0.0045  2 Hg 2.73-2.78

Record 12
Computed, not measured: a relaxed structure of K2RbHgCl at the PBE level of DFT.

Crystal system: tetragonal
Space-group type: P4/mmm
Mass density in g/cm3: 2.75
E_form (uncorrected) in eV per atom: -0.76

Lattice parameters (Å, degrees): 6.1082 6.1082 6.4732 90.00 90.00 90.00
Closest atoms and distances in Å follow each position.
Atoms (fractional coordinates):
K  0.0000  0.5000  0.0000  2 Cl 3.05
K  0.5000  0.0000  0.0000  2 Cl 3.05
Rb  0.0000  0.0000  0.5000  2 Cl 3.24
Hg  0.5000  0.5000  0.5000  4 Rb 4.32, 8 K 4.45
Cl  0.0000  0.0000  0.0000  4 K 3.05, 2 Rb 3.24